Crystalline Pr2BiAs3Pd4 at its relaxed geometry. Source: Alexandria via LeMat-Bulk, functional GGA-PBE.

a b c (Å): 4.3327 4.3327 11.2080
angles (deg): 90.00 90.00 90.00
Last column: nearest neighbours and their distance in Å.
Element x y z (fractional)
Pd: 0.0000 0.0000 0.0000  4 As 2.60
Pr: 0.5000 0.0000 0.2212  4 As 3.24, 8 Pd 3.29-3.37
Bi: 0.5000 0.5000 0.5000  4 Pd 2.77, 4 As 3.06
As: 0.0000 0.5000 0.1275  5 Pd 2.45-2.60
As: 0.5000 0.0000 0.8725  5 Pd 2.45-2.60
Pd: 0.5000 0.5000 0.0000  4 As 2.60
Pr: 0.0000 0.5000 0.7788  4 As 3.24, 8 Pd 3.29-3.37
Pd: 0.0000 0.5000 0.3462  1 As 2.45
As: 0.0000 0.0000 0.5000  4 Pd 2.77, 4 Bi 3.06
Pd: 0.5000 0.0000 0.6538  1 As 2.45

Values from the calculation:
ΔH_f (0 K) in meV/atom: -793
Total magnetization in Bohr magnetons per cell: 0.00
V in Å³ per cell: 210.4


Crystalline ZrSc2Tl at its relaxed geometry. Source: Alexandria via LeMat-Bulk, functional GGA-PBE.

a b c (Å): 4.3927 3.2902 7.2607
angles (deg): 62.92 90.00 90.00
Last column: nearest neighbours and their distance in Å.
Element x y z (fractional)
Sc: 0.0000 0.0075 0.9921  4 Sc 3.13-3.33, 4 Zr 3.16, 4 Tl 3.21
Tl: 0.5000 0.2500 0.2500  8 Sc 3.21, 2 Zr 3.23, 2 Tl 3.29
Sc: 0.0000 0.4925 0.5079  4 Sc 3.13-3.33, 4 Zr 3.16, 4 Tl 3.21
Zr: 0.5000 0.7500 0.7500  8 Sc 3.16, 2 Tl 3.23, 2 Zr 3.29

Values from the calculation:
E above lowest polymorph in meV/atom: 43
ΔH_f (0 K) in meV/atom: -125
Total magnetization in Bohr magnetons per cell: 0.00
V in Å³ per cell: 93.4


Crystalline Ca3Pb at its relaxed geometry. Source: Alexandria via LeMat-Bulk, functional GGA-PBE.

a b c (Å): 6.4341 6.4341 6.4341
angles (deg): 90.00 90.00 90.00
Last column: nearest neighbours and their distance in Å.
Element x y z (fractional)
Ca: 0.0000 0.7500 0.5000  2 Ca 3.22, 4 Pb 3.60
Ca: 0.7500 0.5000 0.0000  2 Ca 3.22, 4 Pb 3.60
Pb: 0.5000 0.5000 0.5000  12 Ca 3.60
Ca: 0.2500 0.5000 0.0000  2 Ca 3.22, 4 Pb 3.60
Pb: 0.0000 0.0000 0.0000  12 Ca 3.60
Ca: 0.5000 0.0000 0.2500  2 Ca 3.22, 4 Pb 3.60
Ca: 0.5000 0.0000 0.7500  2 Ca 3.22, 4 Pb 3.60
Ca: 0.0000 0.2500 0.5000  2 Ca 3.22, 4 Pb 3.60

Values from the calculation:
ΔH_f (0 K) in meV/atom: -233
Total magnetization in Bohr magnetons per cell: 3.58
V in Å³ per cell: 266.4


Crystalline Zr2Zn5Cu4 at its relaxed geometry. Source: Alexandria via LeMat-Bulk, functional GGA-PBE.

a b c (Å): 5.0536 4.8915 8.5922
angles (deg): 81.26 72.90 58.90
Last column: nearest neighbours and their distance in Å.
Element x y z (fractional)
Cu: 0.4727 0.3162 0.7384  5 Zn 2.45-2.61, 1 Cu 2.65
Zn: 0.0000 0.5000 0.0000  4 Zn 2.45-2.53, 4 Cu 2.61
Zn: 0.5000 0.0000 0.0000  4 Zn 2.45, 4 Cu 2.52
Cu: 0.7889 0.6838 0.7384  5 Zn 2.45-2.61, 1 Cu 2.65
Zr: 0.1109 0.0000 0.7782  6 Cu 2.87-2.88, 6 Zn 3.05-3.12
Zn: 0.7500 0.5000 0.5000  4 Cu 2.45, 2 Zn 2.53
Cu: 0.2111 0.3162 0.2616  5 Zn 2.45-2.61, 1 Cu 2.65
Cu: 0.5273 0.6838 0.2616  5 Zn 2.45-2.61, 1 Cu 2.65
Zn: 0.5000 0.5000 0.0000  4 Zn 2.45-2.53, 4 Cu 2.61
Zr: 0.8891 0.0000 0.2218  6 Cu 2.87-2.88, 6 Zn 3.05-3.12
Zn: 0.2500 0.5000 0.5000  4 Cu 2.45, 2 Zn 2.53

Values from the calculation:
ΔH_f (0 K) in meV/atom: -122
Total magnetization in Bohr magnetons per cell: 0.00
V in Å³ per cell: 173.8


Crystalline HPdSe at its relaxed geometry. Source: Alexandria via LeMat-Bulk, functional GGA-PBE.

a b c (Å): 3.4730 4.4370 4.4819
angles (deg): 118.99 112.65 89.74
Last column: nearest neighbours and their distance in Å.
Element x y z (fractional)
Pd: 0.2422 0.2230 0.0736  1 H 1.82
Se: 0.5200 0.8477 0.6223  1 H 1.63
H: 0.3876 0.0210 0.3588  1 Se 1.63, 1 Pd 1.82

Values from the calculation:
E above lowest polymorph in meV/atom: 132
Total magnetization in Bohr magnetons per cell: 0.00
V in Å³ per cell: 54.3


Crystalline BeZn2Mo at its relaxed geometry. Source: Alexandria via LeMat-Bulk, functional GGA-PBE.

a b c (Å): 4.9638 4.9638 4.9638
angles (deg): 138.48 138.48 60.17
Last column: nearest neighbours and their distance in Å.
Element x y z (fractional)
Be: 0.2500 0.7500 0.5000  4 Mo 2.49, 8 Zn 2.78
Mo: 0.7500 0.2500 0.5000  4 Be 2.49, 8 Zn 2.78
Zn: 0.5000 0.5000 0.0000  4 Zn 2.49, 4 Mo 2.78, 4 Be 2.78
Zn: 0.0000 0.0000 0.0000  4 Zn 2.49, 4 Be 2.78, 4 Mo 2.78

Values from the calculation:
ΔH_f (0 K) in meV/atom: 176
Total magnetization in Bohr magnetons per cell: 0.00
V in Å³ per cell: 53.2


Crystalline CuSiOs4 at its relaxed geometry. Source: Alexandria via LeMat-Bulk, functional GGA-PBE.

a b c (Å): 5.1294 5.1294 5.1294
angles (deg): 60.00 60.00 60.00
Last column: nearest neighbours and their distance in Å.
Element x y z (fractional)
Cu: 0.0000 0.0000 0.0000  12 Os 3.01, 4 Si 3.14
Os: 0.3750 0.3750 0.8750  6 Os 2.56
Si: 0.7500 0.7500 0.7500  12 Os 3.01, 4 Cu 3.14
Os: 0.3750 0.8750 0.3750  6 Os 2.56
Os: 0.8750 0.3750 0.3750  6 Os 2.56
Os: 0.3750 0.3750 0.3750  6 Os 2.56

Values from the calculation:
Uncorrected formation energy in eV per formula unit: 6.045
Total magnetization in Bohr magnetons per cell: 0.01
V in Å³ per cell: 95.4